# 1
{"formula": "NaLiCa2F6", "functional": "PBE", "state": "relaxed", "lattice": [[5.6696, 0.0002, 0.0002], [2.8349, 4.9098, 0.0000], [2.8350, 1.6369, 5.0408]], "species": ["F", "F", "F", "F", "F", "F", "Ca", "Ca", "Na", "Li"], "frac_coords": [[0.2183, 0.9435, 0.2422], [0.1270, 0.4137, 0.7557], [0.7036, 0.1270, 0.7557], [0.4137, 0.7036, 0.7557], [0.9435, 0.5961, 0.2422], [0.5961, 0.2183, 0.2422], [0.0184, 0.0184, 0.9449], [0.5216, 0.5216, 0.4351], [0.8081, 0.8080, 0.5759], [0.3113, 0.3114, 0.0659]], "total_magnetization_mub_per_cell": 0.17, "dft_energy_ev_per_cell": -52.94}

# 2
{"formula": "NaLiCaF4", "functional": "PBE", "state": "relaxed", "lattice": [[-1.6154, -4.6667, -1.7753], [0.2711, -1.9415, 4.8568], [-4.9453, 3.9559, 1.8573]], "species": ["Li", "Li", "F", "F", "F", "F", "F", "F", "F", "F", "Ca", "Ca", "Na", "Na"], "frac_coords": [[0.2606, 0.7500, 0.5212], [0.7394, 0.2500, 0.4788], [0.5000, 0.0000, 0.5000], [0.5765, 0.2500, 0.1530], [0.4235, 0.7500, 0.8470], [0.9355, 0.2500, 0.8710], [0.0645, 0.7500, 0.1290], [0.0000, 0.5000, 0.5000], [0.5000, 0.5000, 0.5000], [0.0000, 0.0000, 0.5000], [0.8789, 0.7500, 0.7579], [0.1211, 0.2500, 0.2421], [0.3928, 0.2500, 0.7855], [0.6072, 0.7500, 0.2145]], "total_magnetization_mub_per_cell": 0.13, "dft_energy_ev_per_cell": -70.55}

# 3
{"formula": "NaLi2CaF", "functional": "PBE", "state": "relaxed", "lattice": [[4.8291, 0.0000, 0.0000], [0.0000, 5.0126, 0.0000], [0.0000, 0.0000, 4.8291]], "species": ["Na", "Li", "Li", "Ca", "F"], "frac_coords": [[0.0000, 0.5000, 0.0000], [0.5000, 0.0000, 0.0000], [0.0000, 0.0000, 0.5000], [0.5000, 0.5000, 0.5000], [0.0000, 0.0000, 0.0000]], "total_magnetization_mub_per_cell": 0.00, "dft_energy_ev_per_cell": -12.86}